A | Material: TlCo17
Method: DFT, PBE
State: relaxed

- symmetry = No. 11

a = 4.2741 Å, b = 4.9323 Å, c = 31.2681 Å
α = 90.00°, β = 90.05°, γ = 90.00°
Last column: nearest neighbours and their distance in Å.
Positions (direct):
Tl 0.1676 0.2500 0.2925  6 Co 2.72
Tl 0.8324 0.7500 0.7075  6 Co 2.72
Co 0.0000 0.0000 0.0000  12 Co 2.46-2.47
Co 0.0000 0.0024 0.1939  11 Co 2.41-2.49
Co 0.0000 0.4976 0.1939  11 Co 2.41-2.49
Co 0.0000 0.5000 0.0000  12 Co 2.46-2.47
Co 0.0000 0.5024 0.8061  11 Co 2.41-2.49
Co 0.0000 0.9976 0.8061  11 Co 2.41-2.49
Co 0.1639 0.2500 0.8703  12 Co 2.46-2.49
Co 0.1648 0.7500 0.2558  7 Co 2.41-2.47
Co 0.1665 0.2500 0.0643  12 Co 2.46-2.48
Co 0.1666 0.7500 0.0646  12 Co 2.46-2.48
Co 0.1703 0.7500 0.8712  12 Co 2.45-2.48
Co 0.3335 0.0008 0.1286  12 Co 2.45-2.49
Co 0.3326 0.0030 0.7435  7 Co 2.42-2.50
Co 0.3326 0.4970 0.7435  7 Co 2.42-2.50
Co 0.3335 0.4992 0.1286  12 Co 2.45-2.49
Co 0.3335 0.0001 0.9355  12 Co 2.46-2.49
Co 0.3335 0.4999 0.9355  12 Co 2.46-2.49
Co 0.4985 0.7500 0.1934  12 Co 2.42-2.48
Co 0.4997 0.2500 0.0002  12 Co 2.46-2.48
Co 0.5000 0.2500 0.1938  11 Co 2.43-2.48
Co 0.5003 0.7500 0.9998  12 Co 2.46-2.48
Co 0.5000 0.7500 0.8062  11 Co 2.43-2.48
Co 0.5015 0.2500 0.8066  12 Co 2.42-2.48
Co 0.6665 0.9999 0.0645  12 Co 2.46-2.49
Co 0.6665 0.5001 0.0645  12 Co 2.46-2.49
Co 0.6665 0.5008 0.8714  12 Co 2.45-2.49
Co 0.6674 0.5030 0.2565  7 Co 2.42-2.50
Co 0.6674 0.9970 0.2565  7 Co 2.42-2.50
Co 0.6665 0.9992 0.8714  12 Co 2.45-2.49
Co 0.8297 0.2500 0.1288  12 Co 2.45-2.48
Co 0.8334 0.2500 0.9354  12 Co 2.46-2.48
Co 0.8335 0.7500 0.9357  12 Co 2.46-2.48
Co 0.8352 0.2500 0.7442  7 Co 2.41-2.47
Co 0.8361 0.7500 0.1297  12 Co 2.46-2.49



B | Material: TlCo17
Method: DFT, PBE
State: relaxed

- symmetry = No. 164

a = 4.9274 Å, b = 4.9274 Å, c = 31.3853 Å
α = 90.00°, β = 90.00°, γ = 120.00°
Last column: nearest neighbours and their distance in Å.
Positions (direct):
Tl 0.3333 0.6667 0.2917  6 Co 2.72
Tl 0.6667 0.3333 0.7083  6 Co 2.72
Co 0.0000 0.0000 0.0000  12 Co 2.46
Co 0.0000 0.0000 0.1930  12 Co 2.41-2.47
Co 0.0000 0.0000 0.8070  12 Co 2.41-2.47
Co 0.0000 0.5000 0.0000  12 Co 2.46-2.47
Co 0.0038 0.5019 0.1938  11 Co 2.40-2.49
Co 0.1657 0.3314 0.1286  12 Co 2.45-2.49
Co 0.1658 0.3317 0.9359  12 Co 2.45-2.50
Co 0.1657 0.8343 0.1286  12 Co 2.45-2.49
Co 0.1658 0.8342 0.9359  12 Co 2.45-2.50
Co 0.1666 0.3333 0.7448  7 Co 2.40-2.46
Co 0.1666 0.8334 0.7448  7 Co 2.40-2.46
Co 0.3314 0.1657 0.8714  12 Co 2.45-2.49
Co 0.3317 0.1658 0.0641  12 Co 2.45-2.50
Co 0.3333 0.1666 0.2552  7 Co 2.40-2.46
Co 0.3333 0.6667 0.0645  12 Co 2.46-2.47
Co 0.3333 0.6667 0.8704  12 Co 2.46-2.50
Co 0.4981 0.5019 0.1938  11 Co 2.40-2.49
Co 0.4981 0.9962 0.1938  11 Co 2.40-2.49
Co 0.5000 0.0000 0.0000  12 Co 2.46-2.47
Co 0.5000 0.5000 0.0000  12 Co 2.46-2.47
Co 0.5019 0.0038 0.8062  11 Co 2.40-2.49
Co 0.5019 0.4981 0.8062  11 Co 2.40-2.49
Co 0.6667 0.3333 0.1296  12 Co 2.46-2.50
Co 0.6667 0.3333 0.9355  12 Co 2.46-2.47
Co 0.6667 0.8334 0.7448  7 Co 2.40-2.46
Co 0.6683 0.8342 0.9359  12 Co 2.45-2.50
Co 0.6686 0.8343 0.1286  12 Co 2.45-2.49
Co 0.8334 0.1666 0.2552  7 Co 2.40-2.46
Co 0.8334 0.6667 0.2552  7 Co 2.40-2.46
Co 0.8342 0.1658 0.0641  12 Co 2.45-2.50
Co 0.8343 0.1657 0.8714  12 Co 2.45-2.49
Co 0.8342 0.6683 0.0641  12 Co 2.45-2.50
Co 0.8343 0.6686 0.8714  12 Co 2.45-2.49
Co 0.9962 0.4981 0.8062  11 Co 2.40-2.49



List of relative energies, unit meV/atom: A 0; B 5